{"formula": "NaAg2As2", "functional": "PBE-GGA", "state": "relaxed", "cell": [[-4.6602, -1.1552, 1.0800], [1.2737, -0.7497, 4.6941], [-2.6113, 3.6746, 3.8751]], "species": ["Na", "As", "As", "Ag", "Ag"], "fractional_positions": [[0.0000, 0.0000, 0.0000], [0.7500, 0.2500, 0.5000], [0.2500, 0.7500, 0.5000], [0.3508, 0.3508, 0.2985], [0.6492, 0.6492, 0.7015]], "n_ef_per_ev_cell": 2.3, "final_energy_ev_per_atom": -3.221, "formation_enthalpy_0k_ev_per_atom": 0.0429}